Version A
Material: NiOs2Au
Method: DFT, SCAN
State: PBEsol geometry

a = 2.7407 Å, b = 4.4682 Å, c = 4.6277 Å
α = 90.00°, β = 90.00°, γ = 90.00°
With the nearest neighbours (Å) after each atom.
Fractional positions:
Os 0.0000 0.0000 0.0000  6 Os 2.62-2.74, 4 Au 2.69
Os 0.5000 0.5000 0.0000  6 Os 2.62-2.74, 4 Ni 2.69
Ni 0.0000 0.5000 0.5000  4 Au 2.62, 4 Os 2.69, 2 Ni 2.74
Au 0.5000 0.0000 0.5000  4 Ni 2.62, 4 Os 2.69, 2 Au 2.74

Output
- DOS(E_F): 3.9 states/eV per cell



Version B
Material: NiOs2Au
Method: DFT, SCAN
State: PBEsol geometry

a = 2.7437 Å, b = 3.7317 Å, c = 5.4311 Å
α = 90.00°, β = 90.00°, γ = 90.00°
With the nearest neighbours (Å) after each atom.
Fractional positions:
Ni 0.5000 0.5000 0.7556  5 Os 2.53-2.69, 4 Au 2.66, 2 Ni 2.74
Os 0.0000 0.0000 0.0075  6 Os 2.59-2.74, 2 Au 2.67-2.76, 4 Ni 2.69
Os 0.5000 0.5000 0.2218  1 Ni 2.53, 6 Os 2.59-2.74, 4 Au 2.81
Au 0.0000 0.0000 0.5150  4 Ni 2.66, 6 Os 2.67-2.81, 2 Au 2.74

Output
- DOS(E_F): 3.3 states/eV per cell



Computed energies relative to the best structure, in meV/atom: version A 370; version B 0



Version A
Material: NiOsAu2
Method: DFT, SCAN
State: PBEsol geometry

a = 2.7252 Å, b = 2.7252 Å, c = 7.8396 Å
α = 90.00°, β = 90.00°, γ = 90.00°
With the nearest neighbours (Å) after each atom.
Fractional positions:
Au 0.0000 0.0000 0.9882  8 Au 2.73-2.96, 4 Os 2.85
Au 0.5000 0.5000 0.2752  4 Ni 2.70, 8 Au 2.73-2.96
Ni 0.0000 0.0000 0.5170  4 Os 2.50, 4 Au 2.70, 4 Ni 2.73
Os 0.5000 0.5000 0.7196  4 Ni 2.50, 4 Os 2.73

Output
- DOS(E_F): 2.7 states/eV per cell



Version B
Material: NiOsAu2
Method: DFT, SCAN
State: PBEsol geometry

a = 2.7306 Å, b = 2.7306 Å, c = 7.7769 Å
α = 90.00°, β = 90.00°, γ = 90.00°
With the nearest neighbours (Å) after each atom.
Fractional positions:
Au 0.0000 0.0000 0.7643  4 Ni 2.66, 4 Au 2.73, 4 Os 2.82
Au 0.0000 0.0000 0.2357  4 Ni 2.66, 4 Au 2.73, 4 Os 2.82
Os 0.5000 0.5000 0.5000  4 Os 2.73, 8 Au 2.82
Ni 0.5000 0.5000 0.0000  8 Au 2.66, 4 Ni 2.73

Output
- DOS(E_F): 3.5 states/eV per cell



Computed energies relative to the best structure, in meV/atom: version A 0; version B 227



Version A
Material: Ni2PtAu
Method: DFT, SCAN
State: PBEsol geometry

a = 2.7179 Å, b = 2.7179 Å, c = 7.1701 Å
α = 90.00°, β = 90.00°, γ = 90.00°
With the nearest neighbours (Å) after each atom.
Fractional positions:
Pt 0.5000 0.5000 0.0000  8 Ni 2.58, 4 Pt 2.72
Au 0.5000 0.5000 0.5000  8 Ni 2.67, 4 Au 2.72
Ni 0.0000 0.0000 0.7593  4 Pt 2.58, 4 Au 2.67, 4 Ni 2.72
Ni 0.0000 0.0000 0.2407  4 Pt 2.58, 4 Au 2.67, 4 Ni 2.72

Output
- DOS(E_F): 3.8 states/eV per cell



Version B
Material: Ni2PtAu
Method: DFT, SCAN
State: PBEsol geometry

a = 2.7167 Å, b = 4.4869 Å, c = 4.4869 Å
α = 104.88°, β = 90.00°, γ = 90.00°
With the nearest neighbours (Å) after each atom.
Fractional positions:
Ni 0.0000 0.0000 0.5000  4 Au 2.62, 4 Pt 2.62, 4 Ni 2.72-2.74
Ni 0.0000 0.5000 0.0000  4 Pt 2.62, 4 Au 2.62, 4 Ni 2.72-2.74
Pt 0.5000 0.0000 0.0000  8 Ni 2.62, 2 Pt 2.72, 2 Au 2.74
Au 0.5000 0.5000 0.5000  8 Ni 2.62, 2 Au 2.72, 2 Pt 2.74

Output
- DOS(E_F): 2.5 states/eV per cell



Version C
Material: Ni2PtAu
Method: DFT, SCAN
State: PBEsol geometry

a = 3.7219 Å, b = 3.7219 Å, c = 4.6559 Å
α = 113.56°, β = 113.56°, γ = 90.00°
With the nearest neighbours (Å) after each atom.
Fractional positions:
Pt 0.5000 0.5000 0.0000  8 Ni 2.63-2.67, 4 Au 2.67
Ni 0.7500 0.2500 0.5000  4 Au 2.63, 4 Ni 2.67, 4 Pt 2.67
Ni 0.0000 0.0000 0.0000  4 Pt 2.63, 4 Ni 2.67, 4 Au 2.67
Au 0.2500 0.7500 0.5000  8 Ni 2.63-2.67, 4 Pt 2.67

Output
- DOS(E_F): 3.6 states/eV per cell



Version D
Material: Ni2PtAu
Method: DFT, SCAN
State: PBEsol geometry

a = 3.8635 Å, b = 3.8635 Å, c = 4.4780 Å
α = 115.55°, β = 115.55°, γ = 90.00°
With the nearest neighbours (Å) after each atom.
Fractional positions:
Au 0.5000 0.5000 0.0000  8 Ni 2.62, 4 Pt 2.73
Pt 0.0000 0.0000 0.0000  8 Ni 2.62, 4 Au 2.73
Ni 0.2500 0.7500 0.5000  4 Pt 2.62, 4 Au 2.62, 4 Ni 2.73
Ni 0.7500 0.2500 0.5000  4 Pt 2.62, 4 Au 2.62, 4 Ni 2.73

Output
- DOS(E_F): 4.9 states/eV per cell



Computed energies relative to the best structure, in meV/atom: version A 14; version B 0; version C 79; version D 48



Version A
Material: Ni2PtAu
Method: DFT, SCAN
State: PBEsol geometry

a = 2.7239 Å, b = 3.5511 Å, c = 5.4862 Å
α = 90.00°, β = 90.00°, γ = 90.00°
With the nearest neighbours (Å) after each atom.
Fractional positions:
Au 0.5000 0.5000 0.5000  8 Ni 2.67, 2 Au 2.72, 2 Pt 2.74
Ni 0.0000 0.0000 0.2355  4 Pt 2.58, 3 Ni 2.58-2.72, 4 Au 2.67
Ni 0.0000 0.0000 0.7645  4 Pt 2.58, 3 Ni 2.58-2.72, 4 Au 2.67
Pt 0.5000 0.5000 0.0000  8 Ni 2.58, 2 Pt 2.72, 2 Au 2.74

Output
- DOS(E_F): 2.8 states/eV per cell



Version B
Material: Ni2PtAu
Method: DFT, SCAN
State: PBEsol geometry

a = 2.7280 Å, b = 2.7280 Å, c = 7.1169 Å
α = 90.00°, β = 90.00°, γ = 90.00°
With the nearest neighbours (Å) after each atom.
Fractional positions:
Au 0.5000 0.5000 0.7705  4 Ni 2.67, 4 Au 2.73, 4 Pt 2.88
Ni 0.0000 0.0000 0.0290  4 Ni 2.40, 4 Au 2.67
Ni 0.5000 0.5000 0.2304  4 Ni 2.40, 4 Pt 2.57
Pt 0.0000 0.0000 0.4700  4 Ni 2.57, 4 Pt 2.73, 4 Au 2.88

Output
- DOS(E_F): 2.4 states/eV per cell



Computed energies relative to the best structure, in meV/atom: version A 0; version B 54



Version A
Material: Sc2Ni2Au
Method: DFT, SCAN
State: PBEsol geometry

a = 4.7818 Å, b = 4.9875 Å, c = 4.7818 Å
α = 61.36°, β = 90.00°, γ = 118.64°
With the nearest neighbours (Å) after each atom.
Fractional positions:
Ni 0.3502 0.7003 0.6498  1 Ni 2.20
Ni 0.6498 0.2997 0.3502  1 Ni 2.20
Au 0.0000 0.0000 0.0000  2 Ni 2.57
Sc 0.2500 0.5000 0.2500  4 Ni 2.50
Sc 0.7500 0.5000 0.7500  4 Ni 2.50

Output
- DOS(E_F): 1.8 states/eV per cell



Version B
Material: Sc2Ni2Au
Method: DFT, SCAN
State: PBEsol geometry

a = 3.3102 Å, b = 6.8633 Å, c = 6.8633 Å
α = 90.00°, β = 90.00°, γ = 90.00°
With the nearest neighbours (Å) after each atom.
Fractional positions:
Sc 0.5000 0.6743 0.8257  6 Ni 2.56-2.66
Sc 0.5000 0.1743 0.6743  6 Ni 2.56-2.66
Sc 0.5000 0.8257 0.3257  6 Ni 2.56-2.66
Sc 0.5000 0.3257 0.1743  6 Ni 2.56-2.66
Au 0.0000 0.0000 0.0000  4 Ni 2.72, 8 Sc 3.03
Au 0.0000 0.5000 0.5000  4 Ni 2.72, 8 Sc 3.03
Ni 0.0000 0.3757 0.8757  1 Ni 2.41, 6 Sc 2.56-2.66
Ni 0.0000 0.6243 0.1243  1 Ni 2.41, 6 Sc 2.56-2.66
Ni 0.0000 0.1243 0.3757  1 Ni 2.41, 6 Sc 2.56-2.66
Ni 0.0000 0.8757 0.6243  1 Ni 2.41, 6 Sc 2.56-2.66

Output
- DOS(E_F): 6.8 states/eV per cell



Computed energies relative to the best structure, in meV/atom: version A 225; version B 0



Version A
Material: TaNiAu
Method: DFT, SCAN
State: PBEsol geometry

a = 4.2357 Å, b = 4.2357 Å, c = 4.2357 Å
α = 60.00°, β = 60.00°, γ = 60.00°
With the nearest neighbours (Å) after each atom.
Fractional positions:
Au 0.0000 0.0000 0.0000  4 Ta 2.59
Ni 0.5000 0.5000 0.5000  4 Ta 2.59
Ta 0.7500 0.7500 0.7500  4 Ni 2.59, 4 Au 2.59

Output
- DOS(E_F): 2.0 states/eV per cell



Version B
Material: TaNiAu
Method: DFT, SCAN
State: PBEsol geometry

a = 2.9347 Å, b = 3.6255 Å, c = 4.7751 Å
α = 112.31°, β = 107.90°, γ = 90.00°
With the nearest neighbours (Å) after each atom.
Fractional positions:
Au 0.0043 0.0043 0.0087  5 Ta 2.67-2.77, 5 Ni 2.71-2.78, 2 Au 2.93
Ni 0.6706 0.6706 0.3411  5 Ta 2.66-2.88, 5 Au 2.71-2.78, 2 Ni 2.93
Ta 0.3251 0.3251 0.6502  5 Ni 2.66-2.88, 5 Au 2.67-2.77, 2 Ta 2.93

Output
- DOS(E_F): 1.7 states/eV per cell



Computed energies relative to the best structure, in meV/atom: version A 607; version B 0



Version A
Material: TaNiAu
Method: DFT, SCAN
State: PBEsol geometry

a = 3.2626 Å, b = 3.2626 Å, c = 4.7733 Å
α = 109.98°, β = 109.98°, γ = 90.00°
With the nearest neighbours (Å) after each atom.
Fractional positions:
Ta 0.3242 0.3242 0.6483  5 Ni 2.64-2.89, 5 Au 2.66-2.76
Au 0.0063 0.0063 0.0126  5 Ta 2.66-2.76, 5 Ni 2.68-2.81
Ni 0.6695 0.6695 0.3390  5 Ta 2.64-2.89, 5 Au 2.68-2.81

Output
- DOS(E_F): 1.4 states/eV per cell



Version B
Material: TaNiAu
Method: DFT, SCAN
State: PBEsol geometry

a = 4.1187 Å, b = 4.1187 Å, c = 4.1187 Å
α = 60.00°, β = 60.00°, γ = 60.00°
With the nearest neighbours (Å) after each atom.
Fractional positions:
Au 0.5000 0.5000 0.5000  4 Ni 2.52
Ta 0.0000 0.0000 0.0000  4 Ni 2.52
Ni 0.2500 0.2500 0.2500  4 Ta 2.52, 4 Au 2.52

Output
- DOS(E_F): 4.8 states/eV per cell



Computed energies relative to the best structure, in meV/atom: version A 0; version B 326



Version A
Material: NiWAu2
Method: DFT, SCAN
State: PBEsol geometry

a = 4.0139 Å, b = 4.6661 Å, c = 4.0139 Å
α = 64.53°, β = 90.00°, γ = 115.47°
With the nearest neighbours (Å) after each atom.
Fractional positions:
W 0.0000 0.0000 0.0000  8 Au 2.73, 4 Ni 2.84
Ni 0.5000 0.0000 0.5000  8 Au 2.73, 4 W 2.84
Au 0.7500 0.5000 0.7500  4 W 2.73, 4 Ni 2.73, 4 Au 2.84
Au 0.2500 0.5000 0.2500  4 W 2.73, 4 Ni 2.73, 4 Au 2.84

Output
- DOS(E_F): 1.7 states/eV per cell



Version B
Material: NiWAu2
Method: DFT, SCAN
State: PBEsol geometry

a = 2.7505 Å, b = 4.6554 Å, c = 4.7769 Å
α = 90.00°, β = 90.00°, γ = 90.00°
With the nearest neighbours (Å) after each atom.
Fractional positions:
Au 0.0000 0.0000 0.0000  6 Au 2.70-2.75, 4 Ni 2.76
Au 0.5000 0.5000 0.0000  6 Au 2.70-2.75, 4 W 2.76
Ni 0.5000 0.0000 0.5000  4 W 2.70, 2 Ni 2.75, 4 Au 2.76
W 0.0000 0.5000 0.5000  4 Ni 2.70, 2 W 2.75, 4 Au 2.76

Output
- DOS(E_F): 4.0 states/eV per cell



Computed energies relative to the best structure, in meV/atom: version A 0; version B 113



Version A
Material: Os3Au
Method: DFT, SCAN
State: PBEsol geometry

a = 2.6978 Å, b = 2.6978 Å, c = 9.5206 Å
α = 90.00°, β = 90.00°, γ = 119.36°
With the nearest neighbours (Å) after each atom.
Fractional positions:
Os 0.5000 0.5000 0.2633  8 Os 2.63-2.72, 2 Au 2.85
Os 0.5000 0.5000 0.7367  8 Os 2.63-2.72, 2 Au 2.85
Os 0.0000 0.0000 0.5000  10 Os 2.63-2.72
Au 0.0000 0.0000 0.0000  6 Au 2.70-2.72, 4 Os 2.85

Output
- DOS(E_F): 3.3 states/eV per cell



Version B
Material: Os3Au
Method: DFT, SCAN
State: PBEsol geometry

a = 2.7583 Å, b = 4.7254 Å, c = 4.7254 Å
α = 109.50°, β = 90.00°, γ = 90.00°
With the nearest neighbours (Å) after each atom.
Fractional positions:
Os 0.0000 0.5000 0.5000  2 Au 2.73, 10 Os 2.74-2.76
Os 0.5000 0.0000 0.5000  8 Os 2.73-2.76, 4 Au 2.74
Os 0.5000 0.5000 0.0000  8 Os 2.73-2.76, 4 Au 2.74
Au 0.0000 0.0000 0.0000  10 Os 2.73-2.74, 2 Au 2.76

Output
- DOS(E_F): 3.2 states/eV per cell



Computed energies relative to the best structure, in meV/atom: version A 119; version B 0



Version A
Material: Os2Au
Method: DFT, SCAN
State: PBEsol geometry

a = 2.7357 Å, b = 4.3945 Å, c = 4.3945 Å
α = 120.00°, β = 90.00°, γ = 90.00°
With the nearest neighbours (Å) after each atom.
Fractional positions:
Au 0.0000 0.0000 0.0000  2 Au 2.74, 12 Os 2.88
Os 0.5000 0.3333 0.6667  5 Os 2.54-2.74
Os 0.5000 0.6667 0.3333  5 Os 2.54-2.74

Output
- DOS(E_F): 3.4 states/eV per cell



Version B
Material: Os2Au
Method: DFT, SCAN
State: PBEsol geometry

a = 2.7818 Å, b = 2.7818 Å, c = 6.1501 Å
α = 103.07°, β = 103.07°, γ = 90.00°
With the nearest neighbours (Å) after each atom.
Fractional positions:
Au 0.0000 0.0000 0.0000  4 Au 2.78, 8 Os 2.87
Os 0.6794 0.6794 0.3588  8 Os 2.56-2.78, 4 Au 2.87
Os 0.3206 0.3206 0.6412  8 Os 2.56-2.78, 4 Au 2.87

Output
- DOS(E_F): 2.2 states/eV per cell



Computed energies relative to the best structure, in meV/atom: version A 422; version B 0



Version A
Material: OsAu2
Method: DFT, SCAN
State: PBEsol geometry

a = 2.6291 Å, b = 4.6023 Å, c = 4.6023 Å
α = 120.00°, β = 90.00°, γ = 90.00°
With the nearest neighbours (Å) after each atom.
Fractional positions:
Au 0.5896 0.6667 0.3333  5 Au 2.63-2.70, 3 Os 2.87
Au 0.4104 0.3333 0.6667  5 Au 2.63-2.70, 3 Os 2.87
Os 0.0000 0.0000 0.0000  2 Os 2.63, 6 Au 2.87

Output
- DOS(E_F): 2.2 states/eV per cell



Version B
Material: OsAu2
Method: DFT, SCAN
State: PBEsol geometry

a = 4.5208 Å, b = 4.5208 Å, c = 5.5017 Å
α = 90.00°, β = 90.00°, γ = 120.00°
With the nearest neighbours (Å) after each atom.
Fractional positions:
Au 0.0000 0.0000 0.0000  8 Au 2.75-2.95, 6 Os 2.95
Au 0.6667 0.3333 0.7500  5 Os 2.61-2.75
Au 0.0000 0.0000 0.5000  8 Au 2.75-2.95, 6 Os 2.95
Au 0.3333 0.6667 0.2500  5 Os 2.61-2.75
Os 0.3333 0.6667 0.7500  5 Au 2.61-2.75
Os 0.6667 0.3333 0.2500  5 Au 2.61-2.75

Output
- DOS(E_F): 6.0 states/eV per cell



Computed energies relative to the best structure, in meV/atom: version A 0; version B 112



Version A
Material: POsAu3
Method: DFT, SCAN
State: PBEsol geometry

a = 4.5235 Å, b = 4.5235 Å, c = 4.5235 Å
α = 90.00°, β = 90.00°, γ = 90.00°
With the nearest neighbours (Å) after each atom.
Fractional positions:
Au 0.0000 0.0000 0.5000  2 P 2.26
Au 0.5000 0.0000 0.0000  2 P 2.26
Au 0.0000 0.5000 0.0000  2 P 2.26
Os 0.5000 0.5000 0.5000  12 Au 3.20
P 0.0000 0.0000 0.0000  6 Au 2.26

Output
- DOS(E_F): 3.4 states/eV per cell



Version B
Material: POsAu3
Method: DFT, SCAN
State: PBEsol geometry

a = 4.8875 Å, b = 4.8875 Å, c = 4.8875 Å
α = 90.00°, β = 90.00°, γ = 90.00°
With the nearest neighbours (Å) after each atom.
Fractional positions:
Au 0.5000 0.0000 0.0000  2 Os 2.44
Au 0.0000 0.5000 0.0000  2 Os 2.44
Au 0.0000 0.0000 0.5000  2 Os 2.44
Os 0.0000 0.0000 0.0000  6 Au 2.44
P 0.5000 0.5000 0.5000  12 Au 3.46

Output
- DOS(E_F): 3.4 states/eV per cell



Computed energies relative to the best structure, in meV/atom: version A 0; version B 529